1.
LiScF2: optimized geometry, PBE-GGA.

abc: 5.9665 5.9665 12.3245
angles: 90.00 90.00 90.00
Space group I4_1/amd (No. 141, origin choice 2)
Symmetry-distinct sites (fractional):
Li1 0.0000 0.0000 0.0000 [8 per cell]
Sc1 0.0000 0.0000 0.5000 [8 per cell]
F1 0.0000 0.0021 0.6853 [16 per cell]

Computed properties:
Relative energy among the computed polymorphs = 333.3 meV/atom
N(E_F) = 9.37 states/eV/cell
Formation energy from raw total energies = -2.31 eV/atom

2.
LiSc2F: optimized geometry, PBE-GGA.

abc: 3.0698 3.0698 28.0157
angles: 90.00 90.00 120.00
Space group R-3m (No. 166, hexagonal axes)
Symmetry-distinct sites (fractional):
Li1 0.0000 0.0000 0.0000 [3 per cell]
Sc1 0.0000 0.0000 0.1043 [6 per cell]
F1 0.0000 0.0000 0.5000 [3 per cell]

Computed properties:
Relative energy among the computed polymorphs = 76.9 meV/atom
N(E_F) = 14.92 states/eV/cell
Formation energy from raw total energies = -0.83 eV/atom

3.
LiSc2F: optimized geometry, PBE-GGA.

abc: 6.6827 6.6827 6.6827
angles: 90.00 90.00 90.00
Space group Fm-3m (No. 225)
Symmetry-distinct sites (fractional):
Li1 0.0000 0.0000 0.0000 [4 per cell]
Sc1 0.2500 0.2500 0.2500 [8 per cell]
F1 0.0000 0.0000 0.5000 [4 per cell]

Computed properties:
Relative energy among the computed polymorphs = 539.4 meV/atom
N(E_F) = 20.55 states/eV/cell
Formation energy from raw total energies = -0.37 eV/atom

4.
Li2Sc2F7: optimized geometry, PBE-GGA.

abc: 6.6172 8.7484 5.7801
angles: 90.00 107.65 90.00
Space group C2/m (No. 12)
Symmetry-distinct sites (fractional):
Li1 0.0000 0.1781 0.0000 [4 per cell]
Sc1 0.2347 0.0000 0.6109 [4 per cell]
F1 0.0000 0.5000 0.5000 [2 per cell]
F2 0.0412 0.0000 0.2404 [4 per cell]
F3 0.2073 0.3044 0.2141 [8 per cell]

Computed properties:
N(E_F) = 0.01 states/eV/cell
Formation energy from raw total energies = -3.33 eV/atom

5.
LiSc2F6: optimized geometry, PBE-GGA.

abc: 4.9298 4.9298 9.3759
angles: 90.00 90.00 90.00
Space group P4_2/mnm (No. 136)
Symmetry-distinct sites (fractional):
Li1 0.0000 0.0000 0.0000 [2 per cell]
Sc1 0.0000 0.0000 0.3407 [4 per cell]
F1 0.2021 0.2021 0.1684 [8 per cell]
F2 0.2158 0.2158 0.5000 [4 per cell]

Computed properties:
Formation energy from raw total energies = -3.53 eV/atom

6.
Li2ScF6: optimized geometry, PBE-GGA.

abc: 4.7894 4.7894 9.2900
angles: 90.00 90.00 90.00
Space group P4_2/mnm (No. 136)
Symmetry-distinct sites (fractional):
Li1 0.0000 0.0000 0.1625 [4 per cell]
Sc1 0.0000 0.0000 0.5000 [2 per cell]
F1 0.2001 0.2001 0.3356 [8 per cell]
F2 0.2008 0.2008 0.0000 [4 per cell]

Computed properties:
N(E_F) = 19.38 states/eV/cell
Formation energy from raw total energies = -3.00 eV/atom

7.
LiScF3: optimized geometry, PBE-GGA.

abc: 4.2037 4.2037 4.2037
angles: 90.00 90.00 90.00
Space group Pm-3m (No. 221)
Symmetry-distinct sites (fractional):
Li1 0.0000 0.0000 0.0000 [1 per cell]
Sc1 0.5000 0.5000 0.5000 [1 per cell]
F1 0.0000 0.5000 0.5000 [3 per cell]

Computed properties:
Relative energy among the computed polymorphs = 141.8 meV/atom
N(E_F) = 2.97 states/eV/cell
Formation energy from raw total energies = -2.92 eV/atom

8.
LiSc2F: optimized geometry, PBE-GGA.

abc: 6.9702 6.9702 6.5500
angles: 90.00 90.00 90.00
Space group I-42d (No. 122)
Symmetry-distinct sites (fractional):
Li1 0.0000 0.0000 0.0000 [4 per cell]
Sc1 0.1457 0.2500 0.6250 [8 per cell]
F1 0.0000 0.0000 0.5000 [4 per cell]

Computed properties:
Relative energy among the computed polymorphs = 0.0 meV/atom
N(E_F) = 15.97 states/eV/cell
Formation energy from raw total energies = -0.91 eV/atom

9.
LiSc3F: optimized geometry, PBE-GGA.

abc: 4.5638 4.5638 4.5638
angles: 90.00 90.00 90.00
Space group Pm-3m (No. 221)
Symmetry-distinct sites (fractional):
Li1 0.0000 0.0000 0.0000 [1 per cell]
Sc1 0.0000 0.5000 0.5000 [3 per cell]
F1 0.5000 0.5000 0.5000 [1 per cell]

Computed properties:
Relative energy among the computed polymorphs = 0.0 meV/atom
N(E_F) = 5.68 states/eV/cell
Formation energy from raw total energies = -0.70 eV/atom

10.
Li2ScF2: optimized geometry, PBE-GGA.

abc: 7.6899 7.6899 2.7304
angles: 90.00 90.00 90.00
Space group P4/mbm (No. 127)
Symmetry-distinct sites (fractional):
Li1 0.0931 0.4069 0.0000 [4 per cell]
Sc1 0.0000 0.0000 0.0000 [2 per cell]
F1 0.1104 0.6104 0.5000 [4 per cell]

Computed properties:
Relative energy among the computed polymorphs = 434.0 meV/atom
N(E_F) = 4.87 states/eV/cell
Formation energy from raw total energies = -1.35 eV/atom

11.
Li5Sc3F12: optimized geometry, PBE-GGA.

abc: 12.0110 12.0110 12.0110
angles: 90.00 90.00 90.00
Space group Ia-3d (No. 230)
Symmetry-distinct sites (fractional):
Li1 0.0000 0.0000 0.0000 [16 per cell]
Li2 0.0000 0.2500 0.3750 [24 per cell]
Sc1 0.0000 0.2500 0.1250 [24 per cell]
F1 0.0255 0.0639 0.6546 [96 per cell]

Computed properties:
N(E_F) = 60.27 states/eV/cell
Formation energy from raw total energies = -3.21 eV/atom

12.
LiScF2: optimized geometry, PBE-GGA.

abc: 3.2216 3.2216 18.4712
angles: 90.00 90.00 120.00
Space group R-3m (No. 166, hexagonal axes)
Symmetry-distinct sites (fractional):
Li1 0.0000 0.0000 0.0000 [3 per cell]
Sc1 0.0000 0.0000 0.5000 [3 per cell]
F1 0.0000 0.0000 0.3905 [6 per cell]

Computed properties:
Relative energy among the computed polymorphs = 0.0 meV/atom
N(E_F) = 1.32 states/eV/cell
Formation energy from raw total energies = -2.64 eV/atom

Values of total moment, in order: 0.000, 0.003, 1.499, 1.001, 1.000, 1.050, 0.539, 1.384, 0.000, 2.009, 2.002, 0.000, all in μB/f.u..